# CdCu2BIr

A relaxed CdCu2BIr crystal (GGA-PBE, the Alexandria database).

Lattice parameters (Å, degrees): 3.962 4.422 3.962 90.00 90.00 90.00
Positions (direct):
1 B 0.000 0.000 0.000
2 Ir 0.500 0.500 0.500
3 Cu 0.000 0.000 0.500
4 Cu 0.500 0.000 0.000
5 Cd 0.000 0.500 0.000

Output
As for the energy of formation: 0.65 eV/atom. Its space group is P4/mmm.

# Nd7Tm4Th

A relaxed Nd7Tm4Th crystal (GGA-PBE, the Alexandria database).

Lattice parameters (Å, degrees): 6.147 9.327 10.031 74.86 90.10 48.72
Positions (direct):
1 Nd 0.712 0.533 0.932
2 Nd 0.288 0.467 0.068
3 Nd 0.061 0.185 0.631
4 Nd 0.939 0.815 0.369
5 Nd 0.548 0.710 0.581
6 Nd 0.500 0.000 0.000
7 Nd 0.452 0.290 0.419
8 Tm 0.647 0.600 0.275
9 Tm 0.353 0.400 0.725
10 Tm 0.878 0.876 0.725
11 Tm 0.122 0.124 0.275
12 Th 0.000 0.000 0.000

Output
As for the energy of formation: 0.15 eV/atom. Its space group is P-1.

# Ho2Pu3PaSe6

A relaxed Ho2Pu3PaSe6 crystal (GGA-PBE, the Alexandria database).

Lattice parameters (Å, degrees): 4.071 8.226 9.136 101.90 102.87 90.00
Positions (direct):
1 Ho 0.834 0.662 0.668
2 Ho 0.166 0.338 0.332
3 Pu 0.500 0.500 0.000
4 Pu 0.836 0.161 0.671
5 Pu 0.164 0.839 0.329
6 Pa 0.500 0.000 0.000
7 Se 0.332 0.908 0.664
8 Se 0.669 0.584 0.338
9 Se 0.668 0.092 0.336
10 Se 0.003 0.252 0.005
11 Se 0.997 0.748 0.995
12 Se 0.331 0.416 0.662

Output
For the raw formation energy, the calculation gives -1555.1 meV per atom. Its space group is C2/m.

| no. | raw total energy (eV/cell) | DOS at the Fermi energy (states/eV per atom) |
| --- | --- | --- |
| 1 | -21.390 | 0.41 |
| 2 | -56.866 | 1.86 |
| 3 | -101.216 | 2.01 |